# 1
A plane-wave DFT calculation with PBE was carried out for Pm3Zn3Pt2 after structural relaxation.

The structure belongs to space group Cmcm (No. 63); the cell edges are 4.417, 10.352 and 15.344 Å and the angles 90.00°, 90.00° and 90.00°. Symmetry generates all atoms from Pm at (0.000, 0.087, 0.103), Pm at (0.000, 0.361, 0.250), Zn at (0.000, 0.348, 0.750), Zn at (0.000, 0.380, 0.037) and Pt at (0.000, 0.204, 0.608).

The density of states at the Fermi level is 0.687 states/eV/atom. Its magnetization is 0.0 μB/f.u. The calculation puts the energy at -0.332 Ry per atom. For the formation energy, the calculation gives -0.75 eV per atom.

=====

# 2
A plane-wave DFT calculation with PBE was carried out for Pm2ZnPt after structural relaxation.

The structure belongs to space group P2_1/m (No. 11); the cell edges are 5.980, 4.570 and 7.755 Å and the angles 90.00°, 112.06° and 90.00°. Symmetry generates all atoms from Pm at (0.183, 0.250, 0.416), Pm at (0.282, 0.750, 0.070), Zn at (0.373, 0.750, 0.707) and Pt at (0.148, 0.250, 0.789).

Its energy above the most stable polymorph in this dataset is 0.000 eV per atom. The density of states at the Fermi level is 0.722 states/eV/atom. Its magnetization is 0.0 μB/f.u. The calculation puts the energy at -0.365 Ry per atom. For the formation energy, the calculation gives -0.76 eV per atom.

=====

# 3
A plane-wave DFT calculation with PBE was carried out for Pm3ZnPt2 after structural relaxation.

The structure belongs to space group P4/mmm (No. 123); the cell edges are 3.652, 3.652 and 10.558 Å and the angles 90.00°, 90.00° and 90.00°. Symmetry generates all atoms from Pm at (0.000, 0.000, 0.000), Pm at (0.000, 0.000, 0.327), Zn at (0.500, 0.500, 0.500) and Pt at (0.500, 0.500, 0.167).

Its energy above the most stable polymorph in this dataset is 0.035 eV per atom. The density of states at the Fermi level is 0.831 states/eV/atom. Its magnetization is 0.0 μB/f.u. The calculation puts the energy at -0.399 Ry per atom. For the formation energy, the calculation gives -0.83 eV per atom.

=====

# 4
A plane-wave DFT calculation with PBE was carried out for Pm2ZnPt7 after structural relaxation.

The structure belongs to space group P-4m2 (No. 115); the cell edges are 3.929, 3.929 and 12.657 Å and the angles 90.00°, 90.00° and 90.00°. Symmetry generates all atoms from Pm at (0.000, 0.500, 0.239), Zn at (0.000, 0.000, 0.500), Pt at (0.000, 0.000, 0.000), Pt at (0.000, 0.500, 0.645), Pt at (0.000, 0.500, 0.848), Pt at (0.500, 0.500, 0.000) and Pt at (0.500, 0.500, 0.500).

The density of states at the Fermi level is 0.810 states/eV/atom. Its magnetization is 0.0 μB/f.u. The calculation puts the energy at -0.439 Ry per atom. For the formation energy, the calculation gives -0.67 eV per atom.

=====

# 5
A plane-wave DFT calculation with PBE was carried out for Pm4Zn3Pt after structural relaxation.

The structure belongs to space group P4/mmm (No. 123); the cell edges are 3.667, 3.667 and 14.390 Å and the angles 90.00°, 90.00° and 90.00°. Symmetry generates all atoms from Pm at (0.000, 0.000, 0.118), Pm at (0.000, 0.000, 0.374), Zn at (0.500, 0.500, 0.251), Zn at (0.500, 0.500, 0.500) and Pt at (0.500, 0.500, 0.000).

Its energy above the most stable polymorph in this dataset is 0.000 eV per atom. The density of states at the Fermi level is 0.885 states/eV/atom. Its magnetization is 0.0 μB/f.u. The calculation puts the energy at -0.303 Ry per atom. For the formation energy, the calculation gives -0.52 eV per atom.

=====

# 6
A plane-wave DFT calculation with PBE was carried out for PmZnPt2 after structural relaxation.

The structure belongs to space group P4/mmm (No. 123); the cell edges are 4.531, 4.531 and 3.718 Å and the angles 90.00°, 90.00° and 90.00°. Symmetry generates all atoms from Pm at (0.000, 0.000, 0.000), Zn at (0.500, 0.500, 0.000) and Pt at (0.000, 0.500, 0.500).

The density of states at the Fermi level is 0.653 states/eV/atom. Its magnetization is 0.0 μB/f.u. The calculation puts the energy at -0.384 Ry per atom. For the formation energy, the calculation gives -0.69 eV per atom.

=====

# 7
A plane-wave DFT calculation with PBE was carried out for PmZnPt after structural relaxation.

The structure belongs to space group F-43m (No. 216); the cell edges are 6.609, 6.609 and 6.609 Å and the angles 90.00°, 90.00° and 90.00°. Symmetry generates all atoms from Pm at (0.000, 0.000, 0.000), Zn at (0.000, 0.000, 0.500) and Pt at (0.250, 0.250, 0.750).

Its energy above the most stable polymorph in this dataset is 0.184 eV per atom. The density of states at the Fermi level is 0.748 states/eV/atom. Its magnetization is 0.0 μB/f.u. The calculation puts the energy at -0.349 Ry per atom. For the formation energy, the calculation gives -0.73 eV per atom.

=====

# 8
A plane-wave DFT calculation with PBE was carried out for Pm5Zn2Pt after structural relaxation.

The structure belongs to space group I4/mcm (No. 140); the cell edges are 7.326, 7.326 and 15.998 Å and the angles 90.00°, 90.00° and 90.00°. Symmetry generates all atoms from Pm at (0.000, 0.000, 0.000), Pm at (0.175, 0.325, 0.153), Zn at (0.120, 0.380, 0.500) and Pt at (0.000, 0.000, 0.250).

The density of states at the Fermi level is 1.241 states/eV/atom. Its magnetization is 0.0 μB/f.u. The calculation puts the energy at -0.329 Ry per atom. For the formation energy, the calculation gives -0.43 eV per atom.